# Co3AuF (PBE+U, relaxed)
data_Co3AuF
_cell_length_a 4.885
_cell_length_b 4.885
_cell_length_c 4.885
_cell_angle_alpha 90.00
_cell_angle_beta 90.00
_cell_angle_gamma 90.00
_space_group_name_H-M_alt 'P m -3 m'
_space_group_IT_number 221
_space_group_name_Hall '-P 4 2 3'
loop_
_atom_site_label
_atom_site_type_symbol
_atom_site_fract_x
_atom_site_fract_y
_atom_site_fract_z
Co1 Co 0.000 0.000 0.500
Au1 Au 0.000 0.000 0.000
F1 F 0.500 0.500 0.500
# Excess energy over the best structure of this formula in the dataset (meV per atom): 742